PBE-GGA Te3Cl, relaxed; total magnetization = 0.00 μB per formula unit; symmetry = No. 71; ΔE_f (raw) = 48 kJ/mol of formula units; energy relative to the lowest polymorph listed for this composition = 183 meV per atom; calculated total energy = -2.693 eV/atom
1.0
-1.971 2.621 5.522
1.971 -2.621 5.522
1.971 2.621 -5.522
Te Cl
3 1
Cartesian
0.000 0.000 0.000 Te
1.971 0.000 2.324 Te
0.000 2.621 3.199 Te
0.000 0.000 5.522 Cl